Entry 1:
! Li3Cd4Ga (GGA-PBE, optimized geometry); values from VASP
&SYSTEM
  ibrav = 0, nat = 8, ntyp = 3
/
ATOMIC_SPECIES
Ga 69.72 Ga.upf
Li 6.94 Li.upf
Cd 112.41 Cd.upf
ATOMIC_POSITIONS crystal
Ga 0.500 0.000 0.000
Li 0.212 0.635 0.424
Cd 0.631 0.128 0.263
Cd 0.370 0.340 0.739
Cd 0.630 0.660 0.261
Cd 0.369 0.872 0.737
Li 0.788 0.365 0.576
Li 0.000 0.500 0.000
CELL_PARAMETERS angstrom
3.001 0.000 0.000
0.000 8.983 -2.842
-1.500 -11.836 9.639
! **DOS at the Fermi energy**: 2.909 states/eV/cell
! **ΔH_f (0 K)**: -155 meV/atom
! **Energy above the most stable polymorph in this dataset**: 0.000 eV per atom
! **Mass density**: 5.65 g cm⁻³
! **Volume**: 159 Å³ per cell


Entry 2:
! YCrSe3 (GGA-PBE, optimized geometry); values from VASP
&SYSTEM
  ibrav = 0, nat = 5, ntyp = 3
/
ATOMIC_SPECIES
Se 78.96 Se.upf
Y 88.91 Y.upf
Cr 52.00 Cr.upf
ATOMIC_POSITIONS crystal
Se 0.500 0.000 0.000
Y 0.000 0.000 0.000
Se 0.000 0.500 0.000
Se 0.000 0.000 0.500
Cr 0.500 0.500 0.500
CELL_PARAMETERS angstrom
-3.809 1.697 3.501
-0.105 -4.943 2.282
3.889 1.528 3.491
! **Energy relative to the elements, uncorrected**: -0.10 eV/atom
! **DOS at the Fermi energy**: 5.929 states/eV/cell
! **Energy above the most stable polymorph in this dataset**: 0.573 eV per atom
! **Mass density**: 3.89 g cm⁻³
! **Volume**: 161 Å³ per cell


Entry 3:
! BaLa2Ag (GGA-PBE, optimized geometry); values from VASP
&SYSTEM
  ibrav = 0, nat = 4, ntyp = 3
/
ATOMIC_SPECIES
La 138.91 La.upf
Ag 107.87 Ag.upf
Ba 137.33 Ba.upf
ATOMIC_POSITIONS crystal
La 0.250 0.250 0.250
Ag 0.000 0.000 0.000
Ba 0.500 0.500 0.500
La 0.750 0.750 0.750
CELL_PARAMETERS angstrom
0.000 4.008 4.008
4.008 0.000 4.008
4.008 4.008 0.000
! **DOS at the Fermi energy**: 9.334 states/eV/cell
! **ΔH_f (0 K)**: 163 meV/atom
! **Energy above the most stable polymorph in this dataset**: 0.231 eV per atom
! **Mass density**: 6.74 g cm⁻³
! **Volume**: 129 Å³ per cell


The highest volume belongs to which entry? YCrSe3


Which formula does entry 3 have? BaLa2Ag


Look up the volume of the first one. 159 Å³ per cell


Which of these has the lowest mass density? YCrSe3